No. 1
Here is a relaxed structure of Ce2CuSb4 from Alexandria via LeMat-Bulk. Energies are from PBE.

```
7
Lattice="4.401 0.000 0.000 0.000 4.401 0.000 0.000 0.000 9.441" Properties=species:S:1:pos:R:3 pbc="T T T"
Ce 2.201 0.000 7.225
Ce 0.000 2.201 2.217
Cu 2.201 2.201 0.000
Sb 2.201 0.000 1.406
Sb 0.000 2.201 8.035
Sb 2.201 2.201 4.721
Sb 0.000 0.000 4.721
```

## Properties
Energy relative to the elements, uncorrected, meV per atom: -733

=====

No. 2
Here is a relaxed structure of Pm4YMg3 from Alexandria via LeMat-Bulk. Energies are from PBE.

```
8
Lattice="3.853 0.000 0.000 0.000 5.572 0.000 0.000 0.000 11.223" Properties=species:S:1:pos:R:3 pbc="T T T"
Y 1.926 2.786 0.000
Mg 1.926 0.000 2.808
Mg 1.926 2.786 5.611
Mg 1.926 0.000 8.415
Pm 0.000 0.000 5.611
Pm 0.000 2.786 8.288
Pm 0.000 0.000 0.000
Pm 0.000 2.786 2.935
```

## Properties
DFT formation energy, eV/atom: -0.04

=====

No. 3
Here is a relaxed structure of NaCrSb2 from Alexandria via LeMat-Bulk. Energies are from PBE.

```
4
Lattice="-0.008 -4.142 2.913 -1.839 0.222 4.712 -4.370 -2.297 1.123" Properties=species:S:1:pos:R:3 pbc="T T T"
Sb -1.554 -1.554 2.187
Sb -4.663 -4.663 6.561
Na 0.000 0.000 0.000
Cr -3.109 -3.108 4.374
```

## Properties
Excess energy over the best structure of this formula in the dataset, eV per atom: 0.122
Energy relative to the elements, uncorrected, meV per atom: 114

=====

No. 4
Here is a relaxed structure of Zr4HPt2 from Alexandria via LeMat-Bulk. Energies are from PBE.

```
7
Lattice="3.394 0.000 0.000 0.000 5.842 0.037 -1.697 -2.799 6.496" Properties=species:S:1:pos:R:3 pbc="T T T"
Zr 1.697 -0.931 5.507
Zr 0.000 3.975 1.027
Zr 1.697 1.051 1.653
Zr 0.000 1.993 4.880
H 0.000 0.000 0.000
Pt 1.697 3.328 3.145
Pt 0.000 -0.285 3.388
```

## Properties
Excess energy over the best structure of this formula in the dataset, eV per atom: 0.111

=====

No. 5
Here is a relaxed structure of Sm2FeRe3 from Alexandria via LeMat-Bulk. Energies are from PBE.

```
6
Lattice="-1.223 -2.745 -4.408 -1.592 -1.768 4.775 -2.556 4.820 0.938" Properties=species:S:1:pos:R:3 pbc="T T T"
Sm -1.836 -2.118 -1.398
Sm -3.535 2.424 2.703
Fe 0.000 0.000 0.000
Re -2.685 0.153 0.653
Re -1.278 2.410 0.469
Re -1.889 1.037 -1.735
```

## Properties
DFT formation energy, eV/atom: -0.04

=====

No. 6
Here is a relaxed structure of MnSiAs2 from Alexandria via LeMat-Bulk. Energies are from PBE.

```
4
Lattice="-3.352 -0.499 -1.139 1.399 -0.074 -4.085 1.079 -4.622 -1.147" Properties=species:S:1:pos:R:3 pbc="T T T"
As 1.405 -0.188 -4.052
As 1.233 -2.234 -2.649
Mn -1.056 -1.424 -1.878
Si 0.183 -3.772 -4.494
```

## Properties
Energy relative to the elements, uncorrected, meV per atom: 190

=====

No. 7
Here is a relaxed structure of LiGa4Tc2 from Alexandria via LeMat-Bulk. Energies are from PBE.

```
7
Lattice="-0.063 -1.533 4.032 0.885 -3.951 -1.489 6.756 -1.532 1.831" Properties=species:S:1:pos:R:3 pbc="T T T"
Tc 1.800 -2.477 1.394
Tc 5.777 -4.539 2.980
Ga 4.297 -2.001 1.614
Ga 3.281 -5.015 2.760
Ga 0.442 -1.976 -0.744
Ga -0.032 -0.767 2.016
Li 0.000 0.000 0.000
```

## Properties
DFT formation energy, eV/atom: 0.49

=====

No. 8
Here is a relaxed structure of CeDySi2Pt4 from Alexandria via LeMat-Bulk. Energies are from PBE.

```
8
Lattice="-1.934 3.270 -1.518 -3.310 -0.928 2.217 3.244 5.170 7.007" Properties=species:S:1:pos:R:3 pbc="T T T"
Ce 0.000 0.000 0.000
Dy 1.622 2.585 3.503
Si -1.404 3.112 2.981
Si -0.596 4.400 4.726
Pt -0.890 0.755 2.761
Pt 1.512 5.586 4.596
Pt -0.202 2.854 0.893
Pt 0.824 3.487 6.463
```

## Properties
Energy relative to the elements, uncorrected, meV per atom: -937